The following is a GGA-PBE calculation of an optimized crystal structure of NaTcO3, from Alexandria.

Unit cell a=5.4573 b=5.4573 c=3.8674 alpha=90.00 beta=90.00 gamma=90.00
Last column: nearest neighbours and their distance in Å.
Space group P4/mbm (No. 127)
Unique sites:
Na: 0.0000 0.5000 0.0000 [2 per cell]  8 O 2.57-2.73
Tc: 0.0000 0.0000 0.5000 [2 per cell]  6 O 1.93-1.94
O: 0.0000 0.0000 0.0000 [2 per cell]  2 Tc 1.93
O: 0.2197 0.2803 0.5000 [4 per cell]  2 Tc 1.94

Output
- Density: 4.87 g/cm³
- DOS(E_F): 3.3 states/eV/cell
- Total magnetic moment: 0.000 μB/f.u.
- Energy relative to the elements, uncorrected: -151 kJ/mol of atoms


The following is a GGA-PBE calculation of an optimized crystal structure of Dy7Tm5, from Alexandria.

Unit cell a=18.3176 b=3.5267 c=12.9213 alpha=90.00 beta=118.21 gamma=90.00
Last column: nearest neighbours and their distance in Å.
Space group C2/m (No. 12)
Unique sites:
Dy: 0.0000 0.0000 0.0000 [2 per cell]  6 Tm 3.49-3.53, 6 Dy 3.50-3.53
Dy: 0.0280 0.5000 0.2498 [4 per cell]  8 Dy 3.50-3.53, 4 Tm 3.50-3.52
Dy: 0.1391 0.0000 0.7505 [4 per cell]  7 Tm 3.49-3.52, 5 Dy 3.49-3.53
Dy: 0.1671 0.0000 0.5013 [4 per cell]  7 Dy 3.49-3.53, 5 Tm 3.49-3.52
Tm: 0.0000 0.5000 0.5000 [2 per cell]  10 Dy 3.50-3.52, 2 Tm 3.53
Tm: 0.1671 0.5000 0.0006 [4 per cell]  6 Dy 3.49-3.53, 6 Tm 3.49-3.53
Tm: 0.1944 0.0000 0.2492 [4 per cell]  4 Tm 3.49-3.53, 8 Dy 3.49-3.52

Output
- Density: 8.95 g/cm³
- DOS(E_F): 33.0 states/eV/cell
- Total magnetic moment: 0.000 μB/f.u.
- VASP energy: -4.542 eV per atom


The following is a GGA-PBE calculation of an optimized crystal structure of NiP2Cl, from Alexandria.

Unit cell a=5.7021 b=3.2902 c=8.2203 alpha=90.00 beta=103.64 gamma=90.00
Last column: nearest neighbours and their distance in Å.
Space group Cm (No. 8)
Unique sites:
Ni: 0.0000 0.0000 0.0000 [2 per cell]  3 Cl 2.32-2.33, 3 P 2.47-2.49
P: 0.0465 0.5000 0.6375 [2 per cell]  3 P 2.30
P: 0.2688 0.0000 0.8005 [2 per cell]  3 P 2.30, 3 Ni 2.47-2.49
Cl: 0.2243 0.5000 0.1677 [2 per cell]  3 Ni 2.32-2.33

Output
- Density: 3.46 g/cm³
- DOS(E_F): 7.6 states/eV/cell
- Total magnetic moment: 1.069 μB/f.u.
- Energy relative to the elements, uncorrected: -5 kJ/mol of atoms


The following is a GGA-PBE calculation of an optimized crystal structure of BeFeRe2, from Alexandria.

Unit cell a=2.7250 b=2.7250 c=6.4647 alpha=90.00 beta=90.00 gamma=90.00
Last column: nearest neighbours and their distance in Å.
Space group P4mm (No. 99)
Unique sites:
Be: 0.0000 0.0000 0.0000 [1 per cell]  4 Fe 2.26, 4 Re 2.50
Fe: 0.5000 0.5000 0.1825 [1 per cell]  4 Be 2.26, 4 Re 2.52
Re: 0.0000 0.0000 0.4342 [1 per cell]  4 Fe 2.52, 8 Re 2.73-2.82, 1 Be 2.81
Re: 0.5000 0.5000 0.7534 [1 per cell]  4 Be 2.50, 4 Re 2.73, 1 Fe 2.77

Output
- Density: 15.13 g/cm³
- DOS(E_F): 3.2 states/eV/cell
- Total magnetic moment: 0.000 μB/f.u.
- VASP energy: -9.297 eV per atom


The following is a GGA-PBE calculation of an optimized crystal structure of La4Nd2O, from Alexandria.

Unit cell a=5.0924 b=5.0924 c=17.6872 alpha=90.00 beta=90.00 gamma=90.00
Last column: nearest neighbours and their distance in Å.
Space group I4/mmm (No. 139)
Unique sites:
La: 0.0000 0.0000 0.1411 [4 per cell]  1 O 2.50
La: 0.0000 0.5000 0.0000 [4 per cell]  2 O 2.55
Nd: 0.0000 0.0000 0.3469 [4 per cell]  9 La 3.61-3.72
O: 0.0000 0.0000 0.0000 [2 per cell]  6 La 2.50-2.55

Output
- Density: 6.23 g/cm³
- DOS(E_F): 19.4 states/eV/cell
- Total magnetic moment: 0.000 μB/f.u.
- Energy relative to the elements, uncorrected: -63 kJ/mol of atoms


The following is a GGA-PBE calculation of an optimized crystal structure of CsKHgPd, from Alexandria.

Unit cell a=8.3949 b=8.3949 c=8.3949 alpha=90.00 beta=90.00 gamma=90.00
Last column: nearest neighbours and their distance in Å.
Space group F-43m (No. 216)
Unique sites:
Cs: 0.0000 0.0000 0.0000 [4 per cell]  4 Pd 3.64, 4 Hg 3.64
K: 0.0000 0.0000 0.5000 [4 per cell]  4 Hg 3.64, 4 Pd 3.64
Hg: 0.2500 0.2500 0.7500 [4 per cell]  4 K 3.64, 4 Cs 3.64
Pd: 0.2500 0.2500 0.2500 [4 per cell]  4 K 3.64, 4 Cs 3.64

Output
- Density: 5.38 g/cm³
- DOS(E_F): 1.8 states/eV/cell
- Total magnetic moment: 0.000 μB/f.u.
- VASP energy: -1.837 eV per atom


The following is a GGA-PBE calculation of an optimized crystal structure of Li3Pu2Ga3, from Alexandria.

Unit cell a=8.2443 b=8.2443 c=2.7690 alpha=90.00 beta=90.00 gamma=120.00
Last column: nearest neighbours and their distance in Å.
Space group P-62m (No. 189)
Unique sites:
Li: 0.0000 0.2396 0.0000 [3 per cell]  2 Li 2.77, 4 Ga 2.87
Pu: 0.3333 0.6667 0.0000 [2 per cell]  2 Pu 2.77, 6 Ga 3.04
Ga: 0.0000 0.6560 0.5000 [3 per cell]  2 Ga 2.77, 4 Li 2.87, 4 Pu 3.04

Output
- Density: 7.31 g/cm³
- DOS(E_F): 13.5 states/eV/cell
- Total magnetic moment: 10.220 μB/f.u.
- VASP energy: -5.597 eV per atom


The following is a GGA-PBE calculation of an optimized crystal structure of LiVFeNi, from Alexandria.

Unit cell a=5.6368 b=5.6368 c=5.6368 alpha=90.00 beta=90.00 gamma=90.00
Last column: nearest neighbours and their distance in Å.
Space group F-43m (No. 216)
Unique sites:
Li: 0.0000 0.0000 0.0000 [4 per cell]  4 Fe 2.44, 4 Ni 2.44
V: 0.0000 0.0000 0.5000 [4 per cell]  4 Fe 2.44, 4 Ni 2.44
Fe: 0.2500 0.2500 0.7500 [4 per cell]  4 Li 2.44, 4 V 2.44
Ni: 0.2500 0.2500 0.2500 [4 per cell]  4 Li 2.44, 4 V 2.44

Output
- Density: 6.39 g/cm³
- DOS(E_F): 6.9 states/eV/cell
- Total magnetic moment: 0.000 μB/f.u.
- VASP energy: -6.271 eV per atom


The following is a GGA-PBE calculation of an optimized crystal structure of KCdTc2, from Alexandria.

Unit cell a=6.7057 b=6.7057 c=6.7057 alpha=90.00 beta=90.00 gamma=90.00
Last column: nearest neighbours and their distance in Å.
Space group F-43m (No. 216)
Unique sites:
K: 0.0000 0.0000 0.0000 [4 per cell]  4 Tc 2.90, 4 Cd 2.90
Cd: 0.2500 0.2500 0.2500 [4 per cell]  4 K 2.90, 4 Tc 2.90
Tc: 0.0000 0.0000 0.5000 [4 per cell]  4 Cd 2.90, 4 Tc 2.90
Tc: 0.2500 0.2500 0.7500 [4 per cell]  4 K 2.90, 4 Tc 2.90

Output
- Density: 7.65 g/cm³
- DOS(E_F): 19.3 states/eV/cell
- Total magnetic moment: 0.010 μB/f.u.
- VASP energy: -4.470 eV per atom


The following is a GGA-PBE calculation of an optimized crystal structure of LiY6Mg5, from Alexandria.

Unit cell a=5.3712 b=7.5647 c=8.4859 alpha=90.00 beta=108.35 gamma=90.00
Last column: nearest neighbours and their distance in Å.
Space group P2/m (No. 10)
Unique sites:
Li: 0.0000 0.0000 0.0000 [1 per cell]  8 Y 3.27-3.28
Y: 0.1686 0.2505 0.3313 [4 per cell]  7 Mg 3.27-3.29, 1 Li 3.27
Y: 0.5000 0.2499 0.0000 [2 per cell]  2 Li 3.28, 6 Mg 3.29-3.31
Mg: 0.0000 0.5000 0.0000 [1 per cell]  8 Y 3.27-3.29
Mg: 0.3269 0.0000 0.6621 [2 per cell]  8 Y 3.27-3.31
Mg: 0.3284 0.5000 0.6646 [2 per cell]  8 Y 3.28-3.30

Output
- Density: 3.36 g/cm³
- DOS(E_F): 17.0 states/eV/cell
- Total magnetic moment: 0.003 μB/f.u.
- VASP energy: -4.125 eV per atom


The following is a GGA-PBE calculation of an optimized crystal structure of CsPmScS3, from Alexandria.

Unit cell a=9.3907 b=4.3471 c=10.2758 alpha=90.00 beta=110.18 gamma=90.00
Last column: nearest neighbours and their distance in Å.
Space group P2_1/m (No. 11)
Unique sites:
Cs: 0.2137 0.2500 0.2256 [2 per cell]  5 S 3.54-3.73
Pm: 0.3380 0.7500 0.8648 [2 per cell]  6 S 2.77-3.00
Sc: 0.0892 0.2500 0.6091 [2 per cell]  4 S 2.45-2.55
S: 0.1283 0.2500 0.8571 [2 per cell]  1 Sc 2.45
S: 0.1860 0.7500 0.5559 [2 per cell]  3 Sc 2.49-2.55
S: 0.4732 0.7500 0.1504 [2 per cell]  3 Pm 2.77-2.84

Output
- Density: 3.53 g/cm³
- DOS(E_F): 6.4 states/eV/cell
- Total magnetic moment: 0.000 μB/f.u.
- Energy relative to the elements, uncorrected: -165 kJ/mol of atoms


The following is a GGA-PBE calculation of an optimized crystal structure of Ba5Hg4Ge, from Alexandria.

Unit cell a=4.1866 b=4.1866 c=20.8046 alpha=90.00 beta=90.00 gamma=90.00
Last column: nearest neighbours and their distance in Å.
Space group P4/mmm (No. 123)
Unique sites:
Ba: 0.0000 0.0000 0.0000 [1 per cell]  8 Hg 3.62
Ba: 0.0000 0.0000 0.2034 [2 per cell]  8 Hg 3.62-3.66
Ba: 0.0000 0.0000 0.4099 [2 per cell]  4 Ge 3.50, 4 Hg 3.69, 1 Ba 3.75
Hg: 0.5000 0.5000 0.1003 [2 per cell]  8 Ba 3.62-3.66
Hg: 0.5000 0.5000 0.3038 [2 per cell]  8 Ba 3.62-3.69
Ge: 0.5000 0.5000 0.5000 [1 per cell]  8 Ba 3.50

Output
- Density: 7.11 g/cm³
- DOS(E_F): 7.5 states/eV/cell
- Total magnetic moment: 0.000 μB/f.u.
- VASP energy: -2.040 eV per atom


The following is a GGA-PBE calculation of an optimized crystal structure of Li5Mg2Rh2, from Alexandria.

Unit cell a=4.3938 b=12.3094 c=10.8398 alpha=90.00 beta=90.00 gamma=90.00
Last column: nearest neighbours and their distance in Å.
Space group Imma (No. 74)
Unique sites:
Li: 0.0000 0.0414 0.1653 [8 per cell]  4 Li 2.57-2.86, 2 Rh 2.58-2.61
Li: 0.0000 0.1479 0.6980 [8 per cell]  4 Li 2.47-2.76, 3 Rh 2.74-2.76
Li: 0.0000 0.2500 0.1736 [4 per cell]  4 Li 2.57-2.75, 2 Mg 2.68, 2 Rh 2.75
Mg: 0.0000 0.0000 0.5000 [4 per cell]  6 Li 2.81-2.88, 4 Rh 2.85, 2 Mg 3.10
Mg: 0.0000 0.2500 0.4678 [4 per cell]  4 Li 2.68-2.79, 4 Rh 2.71
Rh: 0.0000 0.1410 0.9526 [8 per cell]  6 Li 2.58-2.76, 1 Rh 2.68, 4 Mg 2.71-2.85

Output
- Density: 3.28 g/cm³
- DOS(E_F): 12.5 states/eV/cell
- Total magnetic moment: 0.000 μB/f.u.
- VASP energy: -3.201 eV per atom


The following is a GGA-PBE calculation of an optimized crystal structure of CdNiP, from Alexandria.

Unit cell a=3.0753 b=3.0753 c=5.9543 alpha=90.00 beta=90.00 gamma=120.00
Last column: nearest neighbours and their distance in Å.
Space group P3m1 (No. 156)
Unique sites:
Cd: 0.0000 0.0000 0.0000 [1 per cell]  3 Ni 2.80, 3 P 3.04, 6 Cd 3.08
Ni: 0.3333 0.6667 0.3647 [1 per cell]  3 P 2.21
P: 0.6667 0.3333 0.5859 [1 per cell]  3 Ni 2.21

Output
- Density: 6.88 g/cm³
- DOS(E_F): 1.4 states/eV/cell
- Total magnetic moment: 0.000 μB/f.u.
- VASP energy: -4.089 eV per atom


The following is a GGA-PBE calculation of an optimized crystal structure of RbAgHg2Bi, from Alexandria.

Unit cell a=6.0186 b=6.0186 c=5.6263 alpha=90.00 beta=90.00 gamma=90.00
Last column: nearest neighbours and their distance in Å.
Space group P4/mmm (No. 123)
Unique sites:
Rb: 0.0000 0.0000 0.0000 [1 per cell]  8 Hg 4.12, 4 Ag 4.26
Ag: 0.5000 0.5000 0.0000 [1 per cell]  2 Bi 2.81
Hg: 0.0000 0.5000 0.5000 [2 per cell]  2 Bi 3.01
Bi: 0.5000 0.5000 0.5000 [1 per cell]  2 Ag 2.81, 4 Hg 3.01

Output
- Density: 6.55 g/cm³
- DOS(E_F): 1.6 states/eV/cell
- Total magnetic moment: 0.000 μB/f.u.
- VASP energy: -1.641 eV per atom


The following is a GGA-PBE calculation of an optimized crystal structure of ReMo2, from Alexandria.

Unit cell a=6.1503 b=6.1503 c=5.2441 alpha=90.00 beta=90.00 gamma=90.00
Last column: nearest neighbours and their distance in Å.
Space group I4/mcm (No. 140)
Unique sites:
Re: 0.0000 0.0000 0.2500 [4 per cell]  2 Re 2.62, 8 Mo 2.68
Mo: 0.1518 0.3482 0.0000 [8 per cell]  1 Mo 2.64, 4 Re 2.68

Output
- Density: 12.66 g/cm³
- DOS(E_F): 15.3 states/eV/cell
- Total magnetic moment: 0.000 μB/f.u.
- VASP energy: -11.042 eV per atom


The following is a GGA-PBE calculation of an optimized crystal structure of CaNdIO6, from Alexandria.

Unit cell a=5.7751 b=5.7751 c=9.3114 alpha=90.00 beta=90.00 gamma=120.00
Last column: nearest neighbours and their distance in Å.
Space group P-31c (No. 163)
Unique sites:
Ca: 0.0000 0.0000 0.0000 [2 per cell]  6 O 2.45
Nd: 0.3333 0.6667 0.2500 [2 per cell]  6 O 2.39
I: 0.3333 0.6667 0.7500 [2 per cell]  6 O 1.91
O: 0.0613 0.3917 0.6347 [12 per cell]  1 I 1.91

Output
- Density: 5.03 g/cm³
- DOS(E_F): 0.0 states/eV/cell
- Total magnetic moment: 0.000 μB/f.u.
- Energy relative to the elements, uncorrected: -176 kJ/mol of atoms


The following is a GGA-PBE calculation of an optimized crystal structure of Ho2Ga6Ru, from Alexandria.

Unit cell a=5.7623 b=5.7623 c=5.7785 alpha=90.00 beta=90.00 gamma=120.00
Last column: nearest neighbours and their distance in Å.
Space group P-3m1 (No. 164)
Unique sites:
Ho: 0.3333 0.6667 0.1475 [2 per cell]  9 Ga 3.05-3.13
Ga: 0.1749 0.3498 0.6799 [6 per cell]  1 Ru 2.54, 4 Ga 2.71-2.74
Ru: 0.0000 0.0000 0.0000 [1 per cell]  6 Ga 2.54

Output
- Density: 8.49 g/cm³
- DOS(E_F): 4.0 states/eV/cell
- Total magnetic moment: 0.000 μB/f.u.
- VASP energy: -4.573 eV per atom


The following is a GGA-PBE calculation of an optimized crystal structure of TlP2Se2, from Alexandria.

Unit cell a=8.7195 b=8.7195 c=3.3955 alpha=90.00 beta=90.00 gamma=90.00
Last column: nearest neighbours and their distance in Å.
Space group P4/mbm (No. 127)
Unique sites:
Tl: 0.0000 0.0000 0.0000 [2 per cell]  4 P 3.11, 2 Tl 3.40
P: 0.2182 0.2818 0.0000 [4 per cell]  2 Se 2.32
Se: 0.1531 0.6531 0.5000 [4 per cell]  2 P 2.32

Output
- Density: 5.46 g/cm³
- DOS(E_F): 4.7 states/eV/cell
- Total magnetic moment: 0.000 μB/f.u.
- Energy relative to the elements, uncorrected: 13 kJ/mol of atoms


The following is a GGA-PBE calculation of an optimized crystal structure of Ac6InPb6, from Alexandria.

Unit cell a=7.0081 b=7.0081 c=11.3917 alpha=90.00 beta=90.00 gamma=120.00
Last column: nearest neighbours and their distance in Å.
Space group P6/mmm (No. 191)
Unique sites:
Ac: 0.0000 0.0000 0.1990 [2 per cell]  1 In 3.43, 6 Pb 3.55
Ac: 0.3333 0.6667 0.0000 [2 per cell]  6 Pb 3.50
Ac: 0.3333 0.6667 0.5000 [2 per cell]  6 Pb 3.49
In: 0.0000 0.0000 0.5000 [1 per cell]  2 Ac 3.43
Pb: 0.0000 0.5000 0.2503 [6 per cell]  6 Ac 3.49-3.55, 4 Pb 3.50

Output
- Density: 9.32 g/cm³
- DOS(E_F): 12.7 states/eV/cell
- Total magnetic moment: 0.443 μB/f.u.
- VASP energy: -4.230 eV per atom